RbLi2C2O6 PBE optimized geometry; formation energy (no corrections) = -1.68 eV/atom; energy = -6.49 eV per atom; total magnetization = 1.01 μB/f.u.
1.0
5.1866 0.0176 -0.0866
2.6040 6.3539 0.8334
-0.0800 -2.7057 4.4224
Rb Li C O
1 2 2 6
direct
0.5000 0.0000 0.5000 Rb
0.8079 0.4996 0.8064 Li
0.1921 0.5004 0.1936 Li
0.2285 0.6947 0.7726 C
0.7715 0.3053 0.2274 C
0.4387 0.7423 0.8706 O
0.8781 0.4033 0.1205 O
0.1277 0.7439 0.5645 O
0.1219 0.5967 0.8795 O
0.8723 0.2561 0.4355 O
0.5613 0.2577 0.1294 O

***

Ta3AlOs4 PBE optimized geometry; calculated formation energy = -363 meV/atom; energy = -10.89 eV per atom; total magnetization = 0.00 μB/f.u.
1.0
3.1141 0.0000 0.0000
0.0000 4.4709 0.0000
0.0000 0.0000 8.9642
Os Al Ta
4 1 3
direct
0.0000 0.0000 0.5000 Os
0.0000 0.5000 0.7592 Os
0.0000 0.0000 0.0000 Os
0.0000 0.5000 0.2408 Os
0.5000 0.5000 0.0000 Al
0.5000 0.0000 0.2456 Ta
0.5000 0.5000 0.5000 Ta
0.5000 0.0000 0.7544 Ta

***

Cd2NiGe PBE optimized geometry; calculated formation energy = 430 meV/atom; energy = -2.63 eV per atom; total magnetization = 0.52 μB/f.u.
1.0
-1.9223 1.3136 -1.6770
-2.6718 0.4373 0.9504
1.5066 10.2533 3.8497
Ni Ge Cd
1 1 2
direct
0.0000 0.0000 0.0000 Ni
0.5000 0.5000 0.5000 Ge
0.0797 0.0797 0.7610 Cd
0.9203 0.9203 0.2390 Cd

***

Tc2GeAsRu PBE optimized geometry; calculated formation energy = 1320 meV/atom; energy = -6.54 eV per atom; total magnetization = 1.12 μB/f.u.
1.0
-3.1854 -2.7470 -2.1846
-0.5391 -2.4436 3.8588
-3.4655 2.9287 1.3704
Ru As Ge Tc
1 1 1 2
direct
0.0000 0.0000 0.0000 Ru
0.5000 0.5000 0.5000 As
0.0000 0.5000 0.0000 Ge
0.0000 0.0000 0.5000 Tc
0.5000 0.0000 0.0000 Tc

***

Sc4Tl PBE optimized geometry; calculated formation energy = -103 meV/atom; energy = -5.64 eV per atom; total magnetization = 1.54 μB/f.u.; distance to the lowest polymorph of the same formula = 0 meV per atom
1.0
-3.9230 3.9135 -0.7851
-0.2758 -5.3489 1.6234
2.5764 2.1759 4.4665
Sc Tl
4 1
direct
0.8062 0.3913 0.1975 Sc
0.3913 0.1938 0.5852 Sc
0.1938 0.6087 0.8025 Sc
0.6087 0.8062 0.4148 Sc
0.0000 0.0000 0.0000 Tl

***

CeSm2DyAs4 PBE optimized geometry; calculated formation energy = -1508 meV/atom; energy = -6.33 eV per atom; total magnetization = 0.53 μB/f.u.
1.0
-2.5114 2.5181 -2.2152
0.5340 -4.4667 -5.6829
-5.6338 -1.9978 4.1161
Ce Sm Dy As
1 2 1 4
direct
0.5000 0.5000 0.0000 Ce
0.5000 0.0000 0.5000 Sm
0.0000 0.5000 0.5000 Sm
0.0000 0.0000 0.0000 Dy
0.5000 0.2475 0.2445 As
0.5000 0.7525 0.7555 As
0.0000 0.2498 0.7539 As
0.0000 0.7502 0.2461 As

***

ZrScFe2 PBE optimized geometry; calculated formation energy = -83 meV/atom; energy = -8.03 eV per atom; total magnetization = 1.35 μB/f.u.
1.0
3.6108 0.0000 0.0000
0.0000 3.8434 0.0003
0.0000 1.9199 4.8881
Fe Sc Zr
2 1 1
direct
0.0000 0.1890 0.9968 Fe
0.5000 0.0604 0.2546 Fe
0.0000 0.4765 0.4220 Sc
0.5000 0.7741 0.8265 Zr

***

ZnReP2S PBE optimized geometry; formation energy (no corrections) = 1.55 eV/atom; energy = -4.19 eV per atom; total magnetization = 2.35 μB/f.u.; distance to the lowest polymorph of the same formula = 977 meV per atom
1.0
-3.4668 -1.5514 2.3716
1.5710 -4.1708 -0.4319
2.4122 0.5090 3.8592
Re Zn S P
1 1 1 2
direct
0.5000 0.5000 0.5000 Re
0.0000 0.0000 0.0000 Zn
0.0000 0.0000 0.5000 S
0.0000 0.5000 0.0000 P
0.5000 0.0000 0.0000 P

***

KNiCl PBE optimized geometry; formation energy (no corrections) = -0.01 eV/atom; energy = -2.92 eV per atom; total magnetization = 0.41 μB/f.u.; distance to the lowest polymorph of the same formula = 603 meV per atom
1.0
6.1084 0.0042 0.0000
4.0729 4.5524 0.0000
-5.0906 -2.2783 2.4915
Ni K Cl
1 1 1
direct
0.6060 0.6060 0.0000 Ni
0.3318 0.3318 0.0000 K
0.0622 0.0622 0.0000 Cl

***

CePmAl2Ir PBE optimized geometry; calculated formation energy = -450 meV/atom; energy = -5.86 eV per atom; total magnetization = 0.88 μB/f.u.
1.0
4.0429 0.0000 0.0000
0.0000 4.5706 0.0000
-2.0215 -2.2853 6.4063
Ce Pm Al Ir
1 1 2 1
direct
0.4194 0.4194 0.8388 Ce
0.1907 0.6907 0.3814 Pm
0.7183 0.2183 0.4367 Al
0.0387 0.0387 0.0773 Al
0.8450 0.8450 0.6900 Ir

***

GaAgPCl2 PBE optimized geometry; formation energy (no corrections) = 0.19 eV/atom; energy = -2.81 eV per atom; total magnetization = 2.16 μB/f.u.; distance to the lowest polymorph of the same formula = 57 meV per atom
1.0
5.2943 0.0000 0.0000
0.0000 5.2943 0.0000
0.0000 0.0000 4.8508
P Ga Ag Cl
1 1 1 2
direct
0.0000 0.0000 0.5000 P
0.5000 0.5000 0.5000 Ga
0.0000 0.0000 0.0000 Ag
0.0000 0.5000 0.0000 Cl
0.5000 0.0000 0.0000 Cl

***

Sc6ZnIr5 PBE optimized geometry; calculated formation energy = -926 meV/atom; energy = -7.89 eV per atom; total magnetization = 0.00 μB/f.u.
1.0
-3.7105 -0.7353 2.6670
-3.7935 1.7423 -4.7974
3.4871 -7.1136 -1.1259
Sc Zn Ir
6 1 5
direct
0.8315 0.5801 0.6630 Sc
0.8315 0.0829 0.6630 Sc
0.5000 0.7464 0.0000 Sc
0.5000 0.2536 0.0000 Sc
0.1685 0.9171 0.3370 Sc
0.1685 0.4199 0.3370 Sc
0.0000 0.0000 0.0000 Zn
0.6655 0.1655 0.3310 Ir
0.3338 0.3338 0.6675 Ir
0.0000 0.5000 0.0000 Ir
0.6662 0.6662 0.3325 Ir
0.3345 0.8345 0.6690 Ir